Density functional theory data (PBE with a Hubbard U) for a geometry-optimized TlBiMoF6 structure.

a = 5.211 Å, b = 5.335 Å, c = 6.525 Å
α = 108.51°, β = 107.03°, γ = 94.85°
Space group P1 (No. 1)
Inequivalent atoms, fractional coordinates:
Tl  0.000  0.000  0.000 x1
Bi  0.663  0.663  0.276 x1
Mo  0.325  0.325  0.640 x1
F  0.012  0.012  0.597 x1
F  0.029  0.437  0.395 x1
F  0.270  0.600  0.931 x1
F  0.441  0.030  0.391 x1
F  0.602  0.273  0.925 x1
F  0.622  0.623  0.655 x1

Calculated values
final energy: -43.974 eV for the cell shown